Entry 1:
A plane-wave DFT calculation with PBE-GGA was carried out for crystalline PaSb2Se6 at its relaxed geometry.

Calculated values
E = -4.737 eV/atom
DOS(E_F) = 0.233 states/eV per atom
formation energy from raw total energies = -0.4429 eV per atom
magnetic moment = 0.0 μB per cell
ΔE to the lowest computed polymorph = 169.0 meV/atom

a b c (Å): 12.9934 5.1074 9.1539
angles (deg): 90.00 112.60 90.00
Closest atoms and distances in Å follow each position.
Space group C2/m (No. 12)
Symmetry-distinct sites (fractional):
1 Pa 0.0000 0.0000 0.0000 x2  2 Se 2.61
2 Sb 0.2151 0.0000 0.6286 x4  4 Se 2.64-2.76
3 Se 0.0231 0.0000 0.7294 x4  1 Pa 2.61
4 Se 0.1380 0.5000 0.0759 x4  1 Sb 2.64
5 Se 0.1521 0.5000 0.5451 x4  3 Sb 2.70-2.76


Entry 2:
A plane-wave DFT calculation with PBE-GGA was carried out for crystalline Rb2CaCu2Cl7 at its relaxed geometry.

Calculated values
E = -3.458 eV/atom
DOS(E_F) = 0.409 states/eV per atom
formation energy from raw total energies = -1.3704 eV per atom
magnetic moment = 0.0 μB per cell

a b c (Å): 6.9598 6.9603 13.0890
angles (deg): 90.00 105.32 90.00
Closest atoms and distances in Å follow each position.
Space group C2/m (No. 12)
Symmetry-distinct sites (fractional):
1 Rb 0.1777 0.0000 0.3583 x4  9 Cl 3.32-3.49
2 Ca 0.0000 0.0000 0.0000 x2  12 Cl 3.20-3.48
3 Cu 0.0929 0.5000 0.1896 x4  6 Cl 2.38-2.49
4 Cl 0.0000 0.5000 0.0000 x2  2 Cu 2.39
5 Cl 0.1700 0.2501 0.8377 x8  2 Cu 2.48-2.49
6 Cl 0.1878 0.5000 0.3783 x4  1 Cu 2.38


Entry 3:
A plane-wave DFT calculation with PBE-GGA was carried out for crystalline K2BeOs at its relaxed geometry.

Calculated values
E = -2.890 eV/atom
DOS(E_F) = 0.639 states/eV per atom
magnetic moment = 0.0 μB per cell
energy relative to the elements = 134.9 kJ/mol of atoms

a b c (Å): 5.4049 11.0354 2.7700
angles (deg): 90.00 90.36 90.00
Closest atoms and distances in Å follow each position.
Space group C2/m (No. 12)
Symmetry-distinct sites (fractional):
1 K 0.2500 0.2500 0.0000 x4  4 K 2.70-2.77
2 Be 0.0000 0.0000 0.5000 x2  2 Os 2.70, 2 Be 2.77
3 Os 0.0000 0.5000 0.5000 x2  2 Be 2.70, 2 Os 2.77


Entry 4:
A plane-wave DFT calculation with PBE-GGA was carried out for crystalline CeYGaRu at its relaxed geometry.

Calculated values
E = -6.553 eV/atom
DOS(E_F) = 1.230 states/eV per atom
magnetic moment = 1.0 μB per cell
energy relative to the elements = -36.4 kJ/mol of atoms

a b c (Å): 7.0485 7.0485 7.0485
angles (deg): 90.00 90.00 90.00
Closest atoms and distances in Å follow each position.
Space group F-43m (No. 216)
Symmetry-distinct sites (fractional):
1 Ce 0.0000 0.0000 0.0000 x4  4 Ru 3.05, 4 Ga 3.05
2 Y 0.0000 0.0000 0.5000 x4  4 Ga 3.05, 4 Ru 3.05
3 Ga 0.2500 0.2500 0.7500 x4  4 Ce 3.05, 4 Y 3.05
4 Ru 0.2500 0.2500 0.2500 x4  4 Ce 3.05, 4 Y 3.05


Entry 5:
A plane-wave DFT calculation with PBE-GGA was carried out for crystalline Sc2BiIrRh at its relaxed geometry.

Calculated values
E = -6.529 eV/atom
DOS(E_F) = 1.131 states/eV per atom
magnetic moment = 0.0 μB per cell
energy relative to the elements = 2.1 kJ/mol of atoms

a b c (Å): 4.9271 4.9271 4.8304
angles (deg): 90.00 90.00 90.00
Closest atoms and distances in Å follow each position.
Space group P4/mmm (No. 123)
Symmetry-distinct sites (fractional):
1 Sc 0.0000 0.5000 0.0000 x2  2 Rh 2.46
2 Bi 0.0000 0.0000 0.5000 x1  8 Sc 3.45, 4 Ir 3.48
3 Ir 0.5000 0.5000 0.5000 x1  2 Rh 2.42
4 Rh 0.5000 0.5000 0.0000 x1  2 Ir 2.42, 4 Sc 2.46


Entry 6:
A plane-wave DFT calculation with PBE-GGA was carried out for crystalline LiSeCl2 at its relaxed geometry.

Calculated values
E = -2.894 eV/atom
DOS(E_F) = 0.341 states/eV per atom
formation energy from raw total energies = -0.6207 eV per atom
magnetic moment = 0.0 μB per cell
ΔE to the lowest computed polymorph = 179.6 meV/atom

a b c (Å): 15.4955 3.6223 3.6243
angles (deg): 90.00 92.52 90.00
Closest atoms and distances in Å follow each position.
Space group Cm (No. 8)
Symmetry-distinct sites (fractional):
1 Li 0.0000 0.0000 0.0000 x2  4 Cl 2.56-2.57
2 Se 0.2054 0.0000 0.0427 x2  4 Cl 2.59
3 Cl 0.2308 0.5000 0.5473 x2  4 Se 2.59
4 Cl 0.4904 0.0000 0.4988 x2  4 Li 2.56-2.57


Entry 7:
A plane-wave DFT calculation with PBE-GGA was carried out for crystalline CaPrIN at its relaxed geometry.

Calculated values
E = -5.278 eV/atom
DOS(E_F) = 0.236 states/eV per atom
formation energy from raw total energies = -1.1135 eV per atom
magnetic moment = 2.3 μB per cell

a b c (Å): 3.8240 3.8240 22.6544
angles (deg): 90.00 90.00 120.00
Closest atoms and distances in Å follow each position.
Space group R3m (No. 160, hexagonal axes)
Symmetry-distinct sites (fractional):
1 Ca 0.0000 0.0000 0.0000 x3  3 N 2.53
2 Pr 0.0000 0.0000 0.2194 x3  3 N 2.59
3 I 0.0000 0.0000 0.4405 x3  3 Ca 3.28, 3 Pr 3.37
4 N 0.0000 0.0000 0.6123 x3  3 Ca 2.53, 3 Pr 2.59


Entry 8:
A plane-wave DFT calculation with PBE-GGA was carried out for crystalline TlCdPbAu at its relaxed geometry.

Calculated values
E = -2.503 eV/atom
DOS(E_F) = 0.655 states/eV per atom
magnetic moment = 0.0 μB per cell
ΔE to the lowest computed polymorph = 84.6 meV/atom
energy relative to the elements = 6.1 kJ/mol of atoms

a b c (Å): 7.4399 7.4399 7.4399
angles (deg): 90.00 90.00 90.00
Closest atoms and distances in Å follow each position.
Space group F-43m (No. 216)
Symmetry-distinct sites (fractional):
1 Tl 0.0000 0.0000 0.0000 x4  4 Cd 3.22, 4 Au 3.22
2 Cd 0.2500 0.2500 0.2500 x4  4 Tl 3.22, 4 Pb 3.22
3 Pb 0.0000 0.0000 0.5000 x4  4 Cd 3.22, 4 Au 3.22
4 Au 0.2500 0.2500 0.7500 x4  4 Tl 3.22, 4 Pb 3.22


> The lowest E belongs to which entry?

CeYGaRu


> The lowest E belongs to which entry?

CeYGaRu


> DOS(E_F) of number 3 (K2BeOs)?

0.639 states/eV per atom